Below is a relaxed RbTaBePd crystal, with properties calculated at the PBE level.

space group	F-43m
magnetic moment	0.003	μB per formula unit
offset from the most stable computed form	246	meV/atom
calculated total energy	-15.8	eV for the cell shown

Lattice parameters (Å, degrees): 4.6713 4.6713 4.6713 60.00 60.00 60.00
Positions (direct):
Ta 0.0000 0.0000 0.0000
Be 0.7500 0.7500 0.7500
Pd 0.5000 0.5000 0.5000
Rb 0.2500 0.2500 0.2500